Record 1
TaCuHgS2, optimized geometry, DFT PBE-GGA; E_tot = -17.16 eV per cell; space-group type = P4/mmm, No. 123; crystal system = tetragonal; N(E_F) = 1.065 states/eV per atom; raw formation energy = 1.469 eV per atom
1.0
4.968 0.000 0.000
0.000 4.693 0.000
0.000 0.000 4.968
S Hg Cu Ta
2 1 1 1
Cartesian
0.000 0.000 2.484 S
2.484 0.000 0.000 S
0.000 0.000 0.000 Hg
0.000 2.347 0.000 Cu
2.484 2.347 2.484 Ta

=====

Record 2
Rb3PmTm2Se6, optimized geometry, DFT PBE-GGA; E_tot = -58.22 eV per cell; space-group type = C2/m, No. 12; crystal system = monoclinic; N(E_F) = 0.000 states/eV per atom; raw formation energy = -1.727 eV per atom
1.0
-0.718 7.266 -0.863
-3.260 -3.370 5.663
7.859 -0.125 2.857
Rb Pm Tm Se
3 1 2 6
Cartesian
1.089 -1.679 6.016 Rb
2.792 5.450 1.642 Rb
1.941 1.886 3.829 Rb
0.000 0.000 0.000 Pm
-2.413 0.174 3.489 Tm
-1.565 3.722 1.311 Tm
3.721 4.696 4.845 Se
-1.341 2.790 4.025 Se
0.161 -0.925 2.812 Se
2.850 1.052 7.081 Se
5.223 0.981 3.632 Se
1.031 2.719 0.576 Se

=====

Record 3
InSnGe2O, optimized geometry, DFT PBE-GGA; E_tot = -15.38 eV per cell; space-group type = P4/mmm, No. 123; crystal system = tetragonal; N(E_F) = 0.986 states/eV per atom; raw formation energy = 1.111 eV per atom
1.0
5.250 0.000 0.000
0.000 5.792 0.000
0.000 0.000 5.250
Ge Sn O In
2 1 1 1
Cartesian
0.000 0.000 2.625 Ge
2.625 0.000 0.000 Ge
0.000 0.000 0.000 Sn
2.625 2.896 2.625 O
0.000 2.896 0.000 In

=====

Record 4
LaGa2CoRu, optimized geometry, DFT PBE-GGA; E_tot = -29.48 eV per cell; space-group type = I-4m2, No. 119; crystal system = tetragonal; energy of formation = -204 kJ/mol of formula units; N(E_F) = 0.405 states/eV per atom
1.0
4.354 0.000 0.000
0.000 4.354 0.000
-2.177 -2.177 4.850
La Ga Co Ru
1 2 1 1
Cartesian
0.000 0.000 0.000 La
2.177 2.177 1.323 Ga
0.000 0.000 3.527 Ga
2.177 0.000 2.425 Co
0.000 2.177 2.425 Ru

=====

Record 5
PmNd4As5, optimized geometry, DFT PBE-GGA; E_tot = -62.23 eV per cell; space-group type = Immm, No. 71; crystal system = orthorhombic; energy of formation = -1462 kJ/mol of formula units; N(E_F) = 0.163 states/eV per atom
1.0
4.193 0.000 -0.809
-0.311 5.801 -1.610
0.003 0.000 11.283
Pm Nd As
1 4 5
Cartesian
0.000 0.000 0.000 Pm
1.555 2.321 8.062 Nd
3.108 4.643 4.841 Nd
0.776 1.158 4.024 Nd
2.329 3.480 0.802 Nd
2.482 0.576 1.595 As
3.262 1.740 5.639 As
0.622 4.061 3.225 As
-0.155 2.901 -0.805 As
1.402 5.225 7.269 As

=====

Record 6
CsYI2O8, optimized geometry, DFT PBE-GGA; E_tot = -62.91 eV per cell; space-group type = R-3, No. 148; crystal system = trigonal; N(E_F) = 0.207 states/eV per atom; raw formation energy = -1.069 eV per atom
1.0
5.987 0.000 0.000
2.994 5.185 0.000
2.994 1.728 8.296
Cs Y I O
1 1 2 8
Cartesian
5.987 3.457 4.148 Cs
0.000 0.000 0.000 Y
2.994 1.728 1.584 I
8.981 5.185 6.712 I
2.994 1.728 3.373 O
4.872 1.501 1.306 O
8.981 5.185 4.922 O
8.238 3.469 1.306 O
3.736 3.444 6.990 O
4.851 5.400 1.306 O
7.124 1.513 6.990 O
7.102 5.412 6.990 O